A plane-wave DFT calculation with GGA-PBEsol was carried out for a relaxed MgCoP4O12 crystal.

a = 11.7613 Å, b = 8.2744 Å, c = 9.9429 Å
α = 90.00°, β = 118.83°, γ = 90.00°
Space group C2/c (No. 15)
Asymmetric unit:
Mg 0.0000 0.0543 0.2500 (multiplicity 4)
Co 0.2500 0.2500 0.5000 (multiplicity 4)
P 0.0081 0.2615 0.9768 (multiplicity 8)
P 0.1975 0.4900 0.1974 (multiplicity 8)
O 0.0288 0.1185 0.9032 (multiplicity 8)
O 0.0489 0.2416 0.4158 (multiplicity 8)
O 0.0769 0.3921 0.6530 (multiplicity 8)
O 0.1442 0.3542 0.0659 (multiplicity 8)
O 0.1991 0.0800 0.3217 (multiplicity 8)
O 0.2337 0.4204 0.3503 (multiplicity 8)

formation energy (no corrections) = -203.97 kJ/mol of atoms